i | Computed, not measured: a relaxed Pr12Nd5Dy2 crystal at the PBE level of DFT.

Fermi-level density of states	31.72	states/eV/f.u.

a = 10.1344 Å, b = 10.1344 Å, c = 10.6626 Å
α = 109.85°, β = 109.85°, γ = 42.00°
Positions (direct):
Pr: 0.0015 0.0015 0.3219
Pr: 0.0810 0.5846 0.4754
Pr: 0.0927 0.5870 0.1312
Pr: 0.4130 0.9073 0.8688
Pr: 0.4154 0.9190 0.5246
Pr: 0.4746 0.4746 0.7565
Pr: 0.5254 0.5254 0.2435
Pr: 0.5846 0.0810 0.4754
Pr: 0.5870 0.0927 0.1312
Pr: 0.9073 0.4130 0.8688
Pr: 0.9190 0.4154 0.5246
Pr: 0.9985 0.9985 0.6781
Nd: 0.1725 0.1725 0.2083
Nd: 0.3150 0.3150 0.8147
Nd: 0.5000 0.5000 0.5000
Nd: 0.6850 0.6850 0.1853
Nd: 0.8275 0.8275 0.7917
Dy: 0.2217 0.7783 0.0000
Dy: 0.7783 0.2217 0.0000

=====

ii | Computed, not measured: a relaxed Pr12Nd5Dy2 crystal at the PBE level of DFT.

Fermi-level density of states	28.92	states/eV/f.u.

a = 11.9578 Å, b = 11.9578 Å, c = 8.9095 Å
α = 109.51°, β = 109.51°, γ = 35.28°
Positions (direct):
Pr: 0.0463 0.5514 0.7066
Pr: 0.0485 0.0485 0.1968
Pr: 0.1384 0.6503 0.1167
Pr: 0.3497 0.8616 0.8833
Pr: 0.3596 0.3596 0.4468
Pr: 0.4486 0.9537 0.2934
Pr: 0.5514 0.0463 0.7066
Pr: 0.6404 0.6404 0.5532
Pr: 0.6503 0.1384 0.1167
Pr: 0.8616 0.3497 0.8833
Pr: 0.9515 0.9515 0.8032
Pr: 0.9537 0.4486 0.2934
Nd: 0.1493 0.1493 0.5963
Nd: 0.2518 0.2518 0.0105
Nd: 0.5000 0.5000 0.0000
Nd: 0.7482 0.7482 0.9895
Nd: 0.8507 0.8507 0.4037
Dy: 0.2417 0.7583 0.5000
Dy: 0.7583 0.2417 0.5000

=====

Going by the energies, ii is most stable and the next is 33 meV per atom up.

=====

i | Computed, not measured: a relaxed Pr3NdDy7 crystal at the PBE level of DFT.

Fermi-level density of states	16.99	states/eV/f.u.

a = 7.1136 Å, b = 7.1136 Å, c = 8.7709 Å
α = 90.00°, β = 90.00°, γ = 120.00°
Positions (direct):
Pr: 0.1670 0.3341 0.0000
Pr: 0.1670 0.8330 0.0000
Pr: 0.6659 0.8330 0.0000
Nd: 0.0000 0.0000 0.3406
Dy: 0.0018 0.5009 0.3400
Dy: 0.3324 0.1662 0.6637
Dy: 0.3333 0.6667 0.6609
Dy: 0.4991 0.5009 0.3400
Dy: 0.4991 0.9982 0.3400
Dy: 0.8338 0.1662 0.6637
Dy: 0.8338 0.6676 0.6637

=====

ii | Computed, not measured: a relaxed Pr3NdDy7 crystal at the PBE level of DFT.

Fermi-level density of states	17.05	states/eV/f.u.

a = 6.5717 Å, b = 6.7122 Å, c = 8.6967 Å
α = 99.04°, β = 98.82°, γ = 95.12°
Positions (direct):
Pr: 0.0000 0.0000 0.0000
Pr: 0.2007 0.5627 0.1610
Pr: 0.7993 0.4373 0.8390
Nd: 0.5000 0.0000 0.5000
Dy: 0.0139 0.7646 0.5839
Dy: 0.2737 0.2774 0.7842
Dy: 0.4415 0.7930 0.8561
Dy: 0.5000 0.5000 0.5000
Dy: 0.5585 0.2070 0.1439
Dy: 0.7263 0.7226 0.2158
Dy: 0.9861 0.2354 0.4161

=====

Going by the energies, ii is most stable and the next is 55 meV per atom up.

=====

i | Computed, not measured: a relaxed Pr2NdDy crystal at the PBE level of DFT.

Fermi-level density of states	9.48	states/eV/f.u.

a = 5.8216 Å, b = 5.8216 Å, c = 5.8216 Å
α = 60.00°, β = 60.00°, γ = 60.00°
Positions (direct):
Pr: 0.2500 0.2500 0.2500
Pr: 0.7500 0.7500 0.7500
Nd: 0.0000 0.0000 0.0000
Dy: 0.5000 0.5000 0.5000

=====

ii | Computed, not measured: a relaxed Pr2NdDy crystal at the PBE level of DFT.

Fermi-level density of states	6.21	states/eV/f.u.

a = 6.3416 Å, b = 6.3416 Å, c = 6.3416 Å
α = 131.69°, β = 131.69°, γ = 70.72°
Positions (direct):
Pr: 0.0000 0.0000 0.0000
Pr: 0.7500 0.2500 0.5000
Nd: 0.2500 0.7500 0.5000
Dy: 0.5000 0.5000 0.0000

=====

iii | Computed, not measured: a relaxed Pr2NdDy crystal at the PBE level of DFT.

Fermi-level density of states	6.96	states/eV/f.u.

a = 12.9157 Å, b = 12.9157 Å, c = 12.9157 Å
α = 15.88°, β = 15.88°, γ = 15.88°
Positions (direct):
Pr: 0.0899 0.0899 0.0899
Pr: 0.9101 0.9101 0.9101
Nd: 0.0000 0.0000 0.0000
Dy: 0.5000 0.5000 0.5000

=====

iv | Computed, not measured: a relaxed Pr2NdDy crystal at the PBE level of DFT.

Fermi-level density of states	8.57	states/eV/f.u.

a = 4.2890 Å, b = 4.2890 Å, c = 7.5634 Å
α = 90.00°, β = 90.00°, γ = 90.00°
Positions (direct):
Pr: 0.0000 0.0000 0.2416
Pr: 0.0000 0.0000 0.7584
Nd: 0.5000 0.5000 0.5000
Dy: 0.5000 0.5000 0.0000

=====

Going by the energies, ii is most stable and the next is 88 meV per atom up.

=====

i | Computed, not measured: a relaxed Pr2Nd2Dy crystal at the PBE level of DFT.

Fermi-level density of states	7.60	states/eV/f.u.

a = 8.9470 Å, b = 8.9470 Å, c = 6.4015 Å
α = 90.00°, β = 90.00°, γ = 134.07°
Positions (direct):
Pr: 0.0952 0.9048 0.7500
Pr: 0.3305 0.6695 0.2500
Pr: 0.6695 0.3305 0.7500
Pr: 0.9048 0.0952 0.2500
Nd: 0.0923 0.4303 0.7500
Nd: 0.4303 0.0923 0.2500
Nd: 0.5697 0.9077 0.7500
Nd: 0.9077 0.5697 0.2500
Dy: 0.5000 0.5000 0.0000
Dy: 0.5000 0.5000 0.5000

=====

ii | Computed, not measured: a relaxed Pr2Nd2Dy crystal at the PBE level of DFT.

Fermi-level density of states	7.99	states/eV/f.u.

a = 3.5291 Å, b = 6.2567 Å, c = 8.9108 Å
α = 103.59°, β = 101.36°, γ = 106.25°
Positions (direct):
Pr: 0.1240 0.4454 0.3007
Pr: 0.8760 0.5546 0.6993
Nd: 0.3048 0.1968 0.9099
Nd: 0.6952 0.8032 0.0901
Dy: 0.0000 0.0000 0.5000

=====

Going by the energies, ii is most stable and the next is 135 meV per atom up.

=====

i | Computed, not measured: a relaxed Pr2NdDy5 crystal at the PBE level of DFT.

Fermi-level density of states	11.95	states/eV/f.u.

a = 9.6042 Å, b = 9.6042 Å, c = 6.5574 Å
α = 96.94°, β = 96.94°, γ = 62.70°
Positions (direct):
Pr: 0.1699 0.6754 0.8863
Pr: 0.3246 0.8301 0.6137
Pr: 0.6754 0.1699 0.3863
Pr: 0.8301 0.3246 0.1137
Nd: 0.0000 0.5000 0.0000
Nd: 0.5000 0.0000 0.5000
Dy: 0.0121 0.1863 0.6446
Dy: 0.1863 0.0121 0.1446
Dy: 0.2129 0.3930 0.4759
Dy: 0.3930 0.2129 0.9759
Dy: 0.4412 0.5588 0.2500
Dy: 0.5588 0.4412 0.7500
Dy: 0.6070 0.7871 0.0241
Dy: 0.7871 0.6070 0.5241
Dy: 0.8137 0.9879 0.8554
Dy: 0.9879 0.8137 0.3554

=====

ii | Computed, not measured: a relaxed Pr2NdDy5 crystal at the PBE level of DFT.

Fermi-level density of states	11.27	states/eV/f.u.

a = 7.1992 Å, b = 14.4055 Å, c = 5.0980 Å
α = 90.00°, β = 90.00°, γ = 90.00°
Positions (direct):
Pr: 0.2478 0.1258 0.0000
Pr: 0.2522 0.6258 0.0000
Pr: 0.7478 0.3742 0.0000
Pr: 0.7522 0.8742 0.0000
Nd: 0.0000 0.5000 0.5000
Nd: 0.5000 0.0000 0.5000
Dy: 0.0000 0.0000 0.5000
Dy: 0.0019 0.7509 0.5000
Dy: 0.2486 0.3745 0.0000
Dy: 0.2514 0.8745 0.0000
Dy: 0.4981 0.2509 0.5000
Dy: 0.5000 0.5000 0.5000
Dy: 0.5019 0.7491 0.5000
Dy: 0.7486 0.1255 0.0000
Dy: 0.7514 0.6255 0.0000
Dy: 0.9981 0.2491 0.5000

=====

Going by the energies, ii is most stable and the next is 152 meV per atom up.

=====

i | Computed, not measured: a relaxed Pr3Nd8Dy2 crystal at the PBE level of DFT.

Fermi-level density of states	19.94	states/eV/f.u.

a = 11.0284 Å, b = 11.0284 Å, c = 5.8454 Å
α = 90.05°, β = 90.05°, γ = 41.32°
Positions (direct):
Pr: 0.0000 0.0000 0.0000
Pr: 0.2884 0.7116 0.5000
Pr: 0.7116 0.2884 0.5000
Nd: 0.1357 0.1357 0.4991
Nd: 0.1836 0.5999 0.9997
Nd: 0.3251 0.3251 0.4984
Nd: 0.4001 0.8164 0.0003
Nd: 0.5999 0.1836 0.9997
Nd: 0.6749 0.6749 0.5016
Nd: 0.8164 0.4001 0.0003
Nd: 0.8643 0.8643 0.5009
Dy: 0.2415 0.2415 0.9980
Dy: 0.7585 0.7585 0.0020

=====

ii | Computed, not measured: a relaxed Pr3Nd8Dy2 crystal at the PBE level of DFT.

Fermi-level density of states	22.68	states/eV/f.u.

a = 8.9569 Å, b = 8.9569 Å, c = 6.2616 Å
α = 107.06°, β = 107.06°, γ = 83.71°
Positions (direct):
Pr: 0.0000 0.0000 0.0000
Pr: 0.2431 0.7569 0.5000
Pr: 0.7569 0.2431 0.5000
Nd: 0.0817 0.5694 0.8252
Nd: 0.1550 0.1550 0.5500
Nd: 0.4306 0.9183 0.1748
Nd: 0.4439 0.4439 0.7138
Nd: 0.5561 0.5561 0.2862
Nd: 0.5694 0.0817 0.8252
Nd: 0.8450 0.8450 0.4500
Nd: 0.9183 0.4306 0.1748
Dy: 0.2890 0.2890 0.1435
Dy: 0.7110 0.7110 0.8565

=====

Going by the energies, ii is most stable and the next is 64 meV per atom up.

=====

i | Computed, not measured: a relaxed Pr4NdDy crystal at the PBE level of DFT.

Fermi-level density of states	11.64	states/eV/f.u.

a = 6.2333 Å, b = 6.2333 Å, c = 11.7793 Å
α = 118.28°, β = 118.28°, γ = 32.79°
Positions (direct):
Pr: 0.1863 0.1863 0.3417
Pr: 0.1892 0.1892 0.8457
Pr: 0.8108 0.8108 0.1543
Pr: 0.8137 0.8137 0.6583
Nd: 0.0000 0.0000 0.5000
Dy: 0.0000 0.0000 0.0000

=====

ii | Computed, not measured: a relaxed Pr4NdDy crystal at the PBE level of DFT.

Fermi-level density of states	10.91	states/eV/f.u.

a = 6.7519 Å, b = 6.7519 Å, c = 6.7519 Å
α = 60.00°, β = 60.00°, γ = 60.00°
Positions (direct):
Pr: 0.3756 0.3756 0.3756
Pr: 0.3756 0.3756 0.8731
Pr: 0.3756 0.8731 0.3756
Pr: 0.8731 0.3756 0.3756
Nd: 0.0000 0.0000 0.0000
Dy: 0.7500 0.7500 0.7500

=====

iii | Computed, not measured: a relaxed Pr4NdDy crystal at the PBE level of DFT.

Fermi-level density of states	9.43	states/eV/f.u.

a = 8.2384 Å, b = 8.2384 Å, c = 5.2014 Å
α = 90.00°, β = 90.00°, γ = 143.06°
Positions (direct):
Pr: 0.1649 0.8351 0.0000
Pr: 0.3344 0.6656 0.5000
Pr: 0.6656 0.3344 0.5000
Pr: 0.8351 0.1649 0.0000
Nd: 0.5000 0.5000 0.0000
Dy: 0.0000 0.0000 0.5000

=====

Going by the energies, iii is most stable and the next is 155 meV per atom up.

=====

i | Computed, not measured: a relaxed PrNd2Dy8 crystal at the PBE level of DFT.

Fermi-level density of states	16.55	states/eV/f.u.

a = 8.9587 Å, b = 8.9587 Å, c = 6.7141 Å
α = 99.17°, β = 99.17°, γ = 43.78°
Positions (direct):
Pr: 0.0000 0.0000 0.0000
Nd: 0.2049 0.2049 0.7968
Nd: 0.7951 0.7951 0.2032
Dy: 0.1739 0.6465 0.5883
Dy: 0.2437 0.2437 0.3042
Dy: 0.3535 0.8261 0.4117
Dy: 0.4129 0.4129 0.0953
Dy: 0.5871 0.5871 0.9047
Dy: 0.6465 0.1739 0.5883
Dy: 0.7563 0.7563 0.6958
Dy: 0.8261 0.3535 0.4117

=====

ii | Computed, not measured: a relaxed PrNd2Dy8 crystal at the PBE level of DFT.

Fermi-level density of states	17.78	states/eV/f.u.

a = 8.9686 Å, b = 8.9686 Å, c = 6.6953 Å
α = 98.74°, β = 98.74°, γ = 43.62°
Positions (direct):
Pr: 0.0000 0.0000 0.0000
Nd: 0.2447 0.2447 0.3064
Nd: 0.7553 0.7553 0.6936
Dy: 0.1740 0.6486 0.5934
Dy: 0.2040 0.2040 0.7994
Dy: 0.3514 0.8260 0.4066
Dy: 0.4118 0.4118 0.0946
Dy: 0.5882 0.5882 0.9054
Dy: 0.6486 0.1740 0.5934
Dy: 0.7960 0.7960 0.2006
Dy: 0.8260 0.3514 0.4066

=====

Going by the energies, i is most stable and the next is 11 meV per atom up.

=====

i | Computed, not measured: a relaxed Pr3Nd4Dy4 crystal at the PBE level of DFT.

Fermi-level density of states	15.63	states/eV/f.u.

a = 12.2582 Å, b = 12.2582 Å, c = 12.2582 Å
α = 162.92°, β = 134.19°, γ = 49.23°
Positions (direct):
Pr: 0.0000 0.0000 0.0000
Pr: 0.3914 0.8914 0.5000
Pr: 0.6086 0.1086 0.5000
Nd: 0.0313 0.3538 0.6775
Nd: 0.3238 0.6462 0.6775
Nd: 0.6762 0.3538 0.3225
Nd: 0.9687 0.6462 0.3225
Dy: 0.2590 0.2590 0.0000
Dy: 0.3178 0.5000 0.8178
Dy: 0.6822 0.5000 0.1822
Dy: 0.7410 0.7410 0.0000

=====

ii | Computed, not measured: a relaxed Pr3Nd4Dy4 crystal at the PBE level of DFT.

Fermi-level density of states	17.79	states/eV/f.u.

a = 10.8560 Å, b = 6.7356 Å, c = 6.7356 Å
α = 51.01°, β = 90.00°, γ = 90.00°
Positions (direct):
Pr: 0.0000 0.0000 0.0000
Pr: 0.2914 0.1566 0.1566
Pr: 0.7086 0.1566 0.1566
Nd: 0.0000 0.7059 0.7059
Nd: 0.2126 0.4984 0.4984
Nd: 0.5000 0.6303 0.6303
Nd: 0.7874 0.4984 0.4984
Dy: 0.0000 0.3021 0.3021
Dy: 0.3033 0.8514 0.8514
Dy: 0.5000 0.3581 0.3581
Dy: 0.6967 0.8514 0.8514

=====

Going by the energies, i is most stable and the next is 19 meV per atom up.